Record 1
Compound: LiHg2Sb
Source: Alexandria via LeMat-Bulk
Functional: GGA-PBE
Structure: optimized geometry

Computed properties:
The value obtained for the total energy is -1.78 eV/atom. The formation energy from raw total energies is -0.12 eV/atom. Its space group is Immm (71). The density of states at the Fermi level comes out at 1.6 states/eV per cell.

a = 6.292 Å, b = 6.292 Å, c = 6.292 Å
α = 150.55°, β = 129.86°, γ = 59.23°
Fractional coordinates of all 4 atoms:
Hg 0.965 0.965 0.000
Hg 0.535 0.535 0.000
Li 0.750 0.250 0.500
Sb 0.250 0.750 0.500

Record 2
Compound: Li8HgSb5
Source: Alexandria via LeMat-Bulk
Functional: GGA-PBE
Structure: optimized geometry

Computed properties:
The value obtained for the total energy is -2.97 eV/atom. The formation energy from raw total energies is -0.39 eV/atom. Its space group is P1 (1). The density of states at the Fermi level comes out at 3.0 states/eV per cell.

a = 7.767 Å, b = 7.185 Å, c = 7.793 Å
α = 116.71°, β = 109.18°, γ = 106.17°
Fractional coordinates of all 14 atoms:
Li 0.599 0.100 0.224
Li 0.157 0.760 0.060
Li 0.692 0.365 0.968
Li 0.297 0.238 0.393
Li 0.603 0.635 0.326
Li 0.126 0.906 0.501
Li 0.518 0.785 0.720
Li 0.935 0.214 0.735
Sb 0.499 0.001 0.499
Sb 0.828 0.869 0.142
Sb 0.143 0.445 0.213
Sb 0.769 0.556 0.700
Sb 0.272 0.128 0.959
Hg 0.311 0.497 0.810

Record 3
Compound: Li2HgSb
Source: Alexandria via LeMat-Bulk
Functional: GGA-PBE
Structure: optimized geometry

Computed properties:
The value obtained for the total energy is -2.44 eV/atom. The formation energy from raw total energies is -0.38 eV/atom. Its space group is P4/mmm (123). The density of states at the Fermi level comes out at 1.7 states/eV per cell.

a = 3.354 Å, b = 3.354 Å, c = 7.161 Å
α = 90.00°, β = 90.00°, γ = 90.00°
Fractional coordinates of all 4 atoms:
Li 0.000 0.000 0.993
Li 0.000 0.000 0.507
Hg 0.500 0.500 0.750
Sb 0.500 0.500 0.250

Record 4
Compound: Li2HgSb
Source: Alexandria via LeMat-Bulk
Functional: GGA-PBE
Structure: optimized geometry

Computed properties:
The value obtained for the total energy is -2.39 eV/atom. The formation energy from raw total energies is -0.33 eV/atom. Its space group is C2/m (12). The density of states at the Fermi level comes out at 0.9 states/eV per cell.

a = 4.761 Å, b = 4.761 Å, c = 5.870 Å
α = 79.11°, β = 79.11°, γ = 41.31°
Fractional coordinates of all 4 atoms:
Li 0.497 0.497 0.520
Li 0.003 0.003 0.980
Sb 0.750 0.750 0.750
Hg 0.250 0.250 0.250